# RbInHg

An optimized crystal structure of RbInHg (GGA-PBE, Alexandria via LeMat-Bulk).

a b c (Å): 4.055 4.055 7.115
angles (deg): 106.56 106.56 90.00
Fractional positions:
Hg  0.704  0.704  0.408
Rb  0.003  0.003  0.005
In  0.293  0.293  0.587

Computed properties:
DFT formation energy (meV per atom): -101.8
Crystal system: tetragonal
E above lowest polymorph (meV per atom): 32.1

---

# Ag5Cl

An optimized crystal structure of Ag5Cl (GGA-PBE, Alexandria via LeMat-Bulk).

a b c (Å): 3.217 3.217 10.837
angles (deg): 90.00 90.00 90.00
Fractional positions:
Ag  0.000  0.000  0.173
Ag  0.500  0.500  0.662
Ag  0.000  0.000  0.500
Ag  0.500  0.500  0.338
Ag  0.000  0.000  0.827
Cl  0.500  0.500  0.000

Computed properties:
Formation energy (no corrections) (meV per atom): -22
Crystal system: tetragonal
E above lowest polymorph (meV per atom): 0.0

---

# Sm2Er7In2

An optimized crystal structure of Sm2Er7In2 (GGA-PBE, Alexandria via LeMat-Bulk).

a b c (Å): 3.628 11.100 11.100
angles (deg): 51.17 80.60 80.60
Fractional positions:
Er  0.161  0.730  0.948
Er  0.367  0.713  0.554
Er  0.839  0.052  0.270
In  0.743  0.861  0.653
Er  0.865  0.394  0.875
Er  0.500  0.054  0.946
In  0.257  0.347  0.139
Sm  0.500  0.398  0.602
Er  0.633  0.446  0.287
Sm  0.000  0.734  0.266
Er  0.135  0.125  0.606

Computed properties:
DFT formation energy (meV per atom): -38.4
Crystal system: orthorhombic

---

# ZnTe3

An optimized crystal structure of ZnTe3 (GGA-PBE, Alexandria via LeMat-Bulk).

a b c (Å): 5.389 5.389 5.389
angles (deg): 90.00 90.00 90.00
Fractional positions:
Te  0.500  0.000  0.000
Zn  0.000  0.000  0.000
Te  0.000  0.500  0.000
Te  0.000  0.000  0.500

Computed properties:
Formation energy (no corrections) (meV per atom): 490
Crystal system: cubic